Record 1
Entry from OQMD: an optimized crystal structure of TbNbSn2O6 (PBE-GGA).

Lattice parameters (Å, degrees): 5.8870 5.8870 5.8870 121.03 121.03 88.22
With the nearest neighbours (Å) after each atom.
Sites, in units of the cell vectors:
Nb 0.5000 0.5000 0.0000  6 O 2.00-2.01
O 0.2630 0.2630 0.0000  1 Nb 2.00, 1 Tb 2.22
O 0.7370 0.7370 0.0000  1 Nb 2.00, 1 Tb 2.22
O 0.8086 0.3400 0.1487  1 Nb 2.01
O 0.6600 0.8086 0.4686  1 Nb 2.01
O 0.3400 0.1914 0.5314  1 Nb 2.01
O 0.1914 0.6600 0.8513  1 Nb 2.01
Sn 0.7500 0.2500 0.5000  4 O 2.56
Sn 0.2500 0.7500 0.5000  4 O 2.56
Tb 0.0000 0.0000 0.0000  6 O 2.22-2.26

Output
Total energy ... -7.379 eV per atom


Record 2
Entry from OQMD: an optimized crystal structure of Zr4InAuC2 (PBE-GGA).

Lattice parameters (Å, degrees): 3.3538 3.3538 14.6893 90.00 90.00 120.00
With the nearest neighbours (Å) after each atom.
Sites, in units of the cell vectors:
Au 0.6667 0.3333 0.0000  6 Zr 2.99
C 0.3333 0.6667 0.2436  6 Zr 2.30-2.33
C 0.3333 0.6667 0.7564  6 Zr 2.30-2.33
In 0.0000 0.0000 0.5000  6 Zr 3.18, 6 In 3.35
Zr 0.0000 0.0000 0.1554  3 C 2.33
Zr 0.6667 0.3333 0.3282  3 C 2.30
Zr 0.6667 0.3333 0.6718  3 C 2.30
Zr 0.0000 0.0000 0.8446  3 C 2.33

Output
Total energy ... -7.999 eV per atom


Record 3
Entry from OQMD: an optimized crystal structure of NaHgBiS3 (PBE-GGA).

Lattice parameters (Å, degrees): 7.7577 7.7577 10.8217 90.00 90.00 148.40
With the nearest neighbours (Å) after each atom.
Sites, in units of the cell vectors:
Bi 0.0000 0.0000 0.0000  6 S 2.79-2.88
Bi 0.0000 0.0000 0.5000  6 S 2.79-2.88
Hg 0.6120 0.3880 0.2500  2 S 2.38
Hg 0.3880 0.6120 0.7500  2 S 2.38
Na 0.3403 0.6597 0.2500  2 S 2.72
Na 0.6597 0.3403 0.7500  2 S 2.72
S 0.6291 0.3709 0.0309  1 Hg 2.38
S 0.9553 0.0447 0.2500  2 Na 2.72, 2 Bi 2.79
S 0.6291 0.3709 0.4691  1 Hg 2.38
S 0.3709 0.6291 0.5309  1 Hg 2.38
S 0.0447 0.9553 0.7500  2 Na 2.72, 2 Bi 2.79
S 0.3709 0.6291 0.9691  1 Hg 2.38

Output
Total energy ... -3.443 eV per atom


Record 4
Entry from OQMD: an optimized crystal structure of ErTlGeSe3 (PBE-GGA).

Lattice parameters (Å, degrees): 7.5374 7.5374 11.2709 90.00 90.00 146.73
With the nearest neighbours (Å) after each atom.
Sites, in units of the cell vectors:
Er 0.5000 0.5000 0.0000  6 Se 2.90-2.95
Er 0.5000 0.5000 0.5000  6 Se 2.90-2.95
Ge 0.9507 0.0493 0.2500  4 Se 2.66-2.68
Ge 0.0493 0.9507 0.7500  4 Se 2.66-2.68
Se 0.8693 0.1307 0.0381  1 Ge 2.66, 2 Er 2.90
Se 0.5608 0.4392 0.2500  2 Ge 2.68, 2 Er 2.95
Se 0.8693 0.1307 0.4619  1 Ge 2.66, 2 Er 2.90
Se 0.1307 0.8693 0.5381  1 Ge 2.66, 2 Er 2.90
Se 0.4392 0.5608 0.7500  2 Ge 2.68, 2 Er 2.95
Se 0.1307 0.8693 0.9619  1 Ge 2.66, 2 Er 2.90
Tl 0.2308 0.7692 0.2500  4 Se 3.27-3.55
Tl 0.7692 0.2308 0.7500  4 Se 3.27-3.55

Output
Offset from the most stable computed form ... 150.2 meV per atom


Per-record density, Mg/m³: 6.85; 8.13; 5.15; 6.44